Run 1
NaCa3As after structural relaxation. Source: the Alexandria database, functional GGA-PBE.

```
NaCa3As
1.0
5.757 0.000 0.000
0.000 5.757 0.000
0.000 0.000 5.757
Na Ca As
1 3 1
Direct
0.000 0.000 0.000
0.000 0.500 0.500
0.500 0.000 0.500
0.500 0.500 0.000
0.500 0.500 0.500
```

Output
Crystal system: cubic

=====

Run 2
NaCa3As after structural relaxation. Source: the Alexandria database, functional GGA-PBE.

```
NaCa3As
1.0
5.720 0.000 0.000
0.000 5.720 0.000
0.000 0.000 5.720
Na Ca As
1 3 1
Direct
0.000 0.000 0.000
0.000 0.000 0.500
0.000 0.500 0.000
0.500 0.000 0.000
0.500 0.500 0.500
```

Output
Crystal system: cubic

=====

It turns out run 1 is the most stable, with the second structure 944 meV per atom higher.

=====

Run 1
CaNbAs2 after structural relaxation. Source: the Alexandria database, functional GGA-PBE.

```
CaNbAs2
1.0
1.892 1.092 6.932
-1.892 1.092 6.932
0.000 -2.184 6.932
Ca Nb As
1 1 2
Direct
0.000 0.000 0.000
0.500 0.500 0.500
0.241 0.241 0.241
0.759 0.759 0.759
```

Output
Crystal system: trigonal

=====

Run 2
CaNbAs2 after structural relaxation. Source: the Alexandria database, functional GGA-PBE.

```
CaNbAs2
1.0
0.000 3.411 3.411
3.411 0.000 3.411
3.411 3.411 0.000
Ca Nb As
1 1 2
Direct
0.000 0.000 0.000
0.500 0.500 0.500
0.250 0.250 0.250
0.750 0.750 0.750
```

Output
Crystal system: cubic

=====

It turns out run 1 is the most stable, with the second structure 384 meV per atom higher.